Entry 1:
Computed, not measured: a PBEsol-optimized structure of Li3CrF6 at the meta-GGA SCAN level of DFT.

POSCAR file:
```
Li3CrF6
1.0
7.132 -4.282 0.000
7.132 4.282 0.000
-0.920 0.000 9.903
Li Cr F
18 6 36
Cartesian
4.888 2.996 2.282
2.484 1.216 4.276
3.862 1.725 9.406
6.442 2.686 7.427
8.916 2.996 2.669
6.402 1.302 4.613
2.024 -1.216 9.228
7.401 1.302 0.339
9.021 1.725 5.449
4.322 -1.725 4.454
5.942 -1.302 9.564
11.319 1.216 0.676
6.941 -1.302 5.291
4.428 -2.996 7.234
6.902 -2.686 2.476
9.481 -1.725 0.497
10.859 -1.216 5.627
8.456 -2.996 7.621
0.000 0.000 0.000
-0.460 0.000 4.952
4.162 0.022 6.991
4.622 -0.022 2.039
8.722 0.022 7.864
9.182 -0.022 2.912
0.887 0.047 1.667
0.427 -0.047 6.619
5.970 2.894 0.615
5.575 2.855 5.604
3.143 1.339 6.033
3.715 1.389 1.126
2.793 0.189 8.340
7.309 2.855 9.251
7.834 2.894 4.336
5.456 1.357 3.033
5.082 1.379 7.966
3.253 -0.189 3.389
5.916 0.090 0.632
3.603 -1.339 1.082
5.456 -0.090 5.584
3.255 -1.389 6.078
7.802 1.379 6.889
8.347 1.357 1.919
4.996 -1.357 7.985
5.542 -1.379 3.015
10.088 1.389 3.825
7.887 0.090 4.319
9.740 1.339 8.822
7.427 -0.090 9.271
10.091 0.189 6.515
8.262 -1.379 1.937
7.887 -1.357 6.870
5.510 -2.894 5.567
6.035 -2.855 0.653
10.551 -0.189 1.563
9.628 -1.389 8.777
10.200 -1.339 3.870
7.769 -2.855 4.299
7.374 -2.894 9.288
12.916 0.047 3.285
12.456 -0.047 8.236
```

Computed properties:
E, eV for the cell shown: -471.190
DOS at the Fermi energy, states/eV/cell: 0.00
Space group: C2/c (15)
Spin magnetization, μB per cell: 18.000
Formation energy (no corrections), eV/f.u.: -31.74

Entry 2:
Computed, not measured: a PBEsol-optimized structure of SrLiCrF6 at the meta-GGA SCAN level of DFT.

POSCAR file:
```
SrLiCrF6
1.0
5.151 0.000 0.000
-2.576 4.461 0.000
0.000 0.000 10.373
Sr Li Cr F
2 2 2 12
Cartesian
0.000 0.000 0.000
0.000 0.000 5.186
0.000 2.974 2.593
2.576 1.487 7.779
0.000 2.974 7.779
2.576 1.487 2.593
-0.878 1.671 6.696
-1.568 2.866 8.862
0.878 1.671 8.862
-0.690 4.386 6.696
1.886 0.075 1.510
1.008 1.596 3.676
1.568 2.866 6.696
0.690 4.386 8.862
3.266 0.075 3.676
1.698 2.791 1.510
4.144 1.596 1.510
3.454 2.791 3.676
```

Computed properties:
E, eV for the cell shown: -191.935
DOS at the Fermi energy, states/eV/cell: 0.00
Space group: P-31c (163)
Spin magnetization, μB per cell: 6.000
Formation energy (no corrections), eV/f.u.: -31.68

Entry 3:
Computed, not measured: a PBEsol-optimized structure of MgCrF3 at the meta-GGA SCAN level of DFT.

POSCAR file:
```
MgCrF3
1.0
3.917 0.000 0.000
0.000 3.917 0.000
0.000 0.000 3.917
Mg Cr F
1 1 3
Cartesian
0.000 0.000 0.000
1.959 1.959 1.959
0.000 0.000 1.959
0.000 1.959 0.000
1.959 0.000 0.000
```

Computed properties:
E, eV for the cell shown: -47.234
DOS at the Fermi energy, states/eV/cell: 4.10
Space group: Pm-3m (221)
Spin magnetization, μB per cell: 5.000
Formation energy (no corrections), eV/f.u.: -13.26

Entry 4:
Computed, not measured: a PBEsol-optimized structure of MgCrF2 at the meta-GGA SCAN level of DFT.

POSCAR file:
```
MgCrF2
1.0
3.026 0.000 0.000
-1.513 2.621 0.000
0.000 0.000 24.372
Mg Cr F
3 3 6
Cartesian
0.000 0.000 0.000
0.000 1.747 16.248
1.513 0.874 8.124
0.000 0.000 12.186
0.000 1.747 4.062
1.513 0.874 20.310
0.000 0.000 9.077
0.000 0.000 15.296
0.000 1.747 0.953
0.000 1.747 7.171
1.513 0.874 17.201
1.513 0.874 23.420
```

Computed properties:
E, eV for the cell shown: -118.569
DOS at the Fermi energy, states/eV/cell: 2.26
Space group: R-3m (166)
Spin magnetization, μB per cell: 15.089
Formation energy (no corrections), eV/f.u.: -9.08